(1)
The following is a DFT calculation (PBE) of crystalline K2ZrBr2O2 at its relaxed geometry.

Cell: 4.2815 4.2815 17.4805 Å, 90.00 90.00 90.00°
Space group I4/mmm (No. 139)
Unique sites:
K (0.0000, 0.0000, 0.1127)
Zr (0.0000, 0.0000, 0.5000)
Br (0.0000, 0.0000, 0.3389)
O (0.0000, 0.5000, 0.0000)

Values from the calculation:
- Crystal system: tetragonal
- E_form (uncorrected): -2.1732 eV per atom
- Fermi-level density of states: 0.00 states/eV/f.u.
- Final energy: -0.4118 Ry per atom

(2)
The following is a DFT calculation (PBE) of crystalline K2OsBr6 at its relaxed geometry.

Cell: 7.4113 7.4957 12.9082 Å, 90.00 124.84 90.00°
Space group P2_1/c (No. 14)
Unique sites:
K (0.2353, 0.0485, 0.2493)
Os (0.5000, 0.0000, 0.0000)
Br (0.2022, 0.1994, 0.9719)
Br (0.2801, 0.7304, 0.9784)
Br (0.3169, 0.5017, 0.2656)

Values from the calculation:
- Crystal system: monoclinic
- E_form (uncorrected): -0.8671 eV per atom
- Fermi-level density of states: 6.09 states/eV/f.u.
- Final energy: -0.2553 Ry per atom